Entry 1:
Material: TbZrIr
Method: DFT, PBE
State: relaxed

Cell: 7.097 8.474 8.474 Å, 66.27 65.25 65.25°
Fractional positions:
1 Tb 0.169 0.042 0.542
2 Tb 0.753 0.958 0.458
3 Tb 0.338 0.750 0.250
4 Tb 0.338 0.250 0.750
5 Tb 0.753 0.458 0.958
6 Tb 0.169 0.542 0.042
7 Zr 0.008 0.000 0.000
8 Zr 0.008 0.500 0.500
9 Zr 0.754 0.372 0.372
10 Zr 0.498 0.628 0.628
11 Zr 0.498 0.128 0.128
12 Zr 0.754 0.872 0.872
13 Ir 0.752 0.250 0.750
14 Ir 0.752 0.750 0.250
15 Ir 0.087 0.166 0.166
16 Ir 0.420 0.834 0.834
17 Ir 0.420 0.334 0.334
18 Ir 0.087 0.666 0.666

SG = Amm2 (38)
Energy above the lowest structure with this stoichiometry = 0.000 eV per formula unit
V = 22.445 Å³/atom
Formation energy from the elements = -0.68 eV/atom



Entry 2:
Material: Tb2ZrIr3
Method: DFT, PBE
State: relaxed

Cell: 4.784 4.784 5.956 Å, 90.00 90.00 120.00°
Fractional positions:
1 Tb 0.667 0.333 0.337
2 Tb 0.333 0.667 0.663
3 Zr 0.000 0.000 0.000
4 Ir 0.000 0.000 0.500
5 Ir 0.667 0.333 0.859
6 Ir 0.333 0.667 0.141

SG = P-3m1 (164)
V = 19.672 Å³/atom
Formation energy from the elements = -0.77 eV/atom